1.
# Tl2VBr4

Crystalline Tl2VBr4 at its relaxed geometry (PBE-GGA, Alexandria via LeMat-Bulk).

Cell lengths 5.246, 5.246, 16.614 Å; angles 90.00, 90.00, 90.00 degrees
Space group I4/mmm (No. 139)
Asymmetric unit:
Tl 0.000 0.000 0.141 x4
V 0.000 0.000 0.500 x2
Br 0.000 0.000 0.341 x4
Br 0.000 0.500 0.000 x4

- ΔE_f (raw): -0.780 eV per atom
- Polymorph energy (0 for the lowest one): 0.030 eV/atom

2.
# SiPF

Crystalline SiPF at its relaxed geometry (PBE-GGA, Alexandria via LeMat-Bulk).

Cell lengths 4.568, 4.837, 5.919 Å; angles 98.09, 99.40, 98.51 degrees
Space group P-1 (No. 2)
Asymmetric unit:
Si 0.026 0.268 0.415 x2
P 0.384 0.086 0.641 x2
F 0.113 0.298 0.162 x2

- ΔE_f (raw): -1.194 eV per atom
- Polymorph energy (0 for the lowest one): 0.143 eV/atom

3.
# Ba2YSb

Crystalline Ba2YSb at its relaxed geometry (PBE-GGA, Alexandria via LeMat-Bulk).

Cell lengths 14.192, 4.400, 5.995 Å; angles 90.00, 114.93, 90.00 degrees
Space group Cm (No. 8)
Asymmetric unit:
Ba 0.000 0.000 0.000 x2
Ba 0.195 0.000 0.694 x2
Y 0.397 0.000 0.397 x2
Sb 0.233 0.500 0.231 x2

- ΔE_f (raw): -0.437 eV per atom

Among the records above, which one has the highest ΔE_f (raw)?
Ba2YSb

Please write out number 1 again, unchanged.
# Tl2VBr4

Crystalline Tl2VBr4 at its relaxed geometry (PBE-GGA, Alexandria via LeMat-Bulk).

Cell lengths 5.246, 5.246, 16.614 Å; angles 90.00, 90.00, 90.00 degrees
Space group I4/mmm (No. 139)
Asymmetric unit:
Tl 0.000 0.000 0.141 x4
V 0.000 0.000 0.500 x2
Br 0.000 0.000 0.341 x4
Br 0.000 0.500 0.000 x4

- ΔE_f (raw): -0.780 eV per atom
- Polymorph energy (0 for the lowest one): 0.030 eV/atom